(1)
# CaV3Os PBE optimized geometry
data_CaV3Os
_chemical_formula_sum 'Ca1 V3 Os1'
_symmetry_space_group_name_H-M 'P 1'
_symmetry_Int_Tables_number 1
_symmetry_space_group_name_Hall 'P 1'
_cell_length_a 4.775
_cell_length_b 4.775
_cell_length_c 4.775
_cell_angle_alpha 90.00
_cell_angle_beta 90.00
_cell_angle_gamma 90.00
loop_
_atom_site_label
_atom_site_type_symbol
_atom_site_fract_x
_atom_site_fract_y
_atom_site_fract_z
Ca1 Ca 0.000 0.000 0.000
V1 V 0.000 0.500 0.500
V2 V 0.500 0.000 0.500
V3 V 0.500 0.500 0.000
Os1 Os 0.500 0.500 0.500
# Polymorph energy (0 for the lowest one) (eV per formula unit): 0.000
# Calculated formation energy (eV/atom): 0.73
# Final energy (eV/atom): -7.385
# Crystal system: cubic

(2)
# Ca3VOs PBE optimized geometry
data_Ca3VOs
_chemical_formula_sum 'Ca3 V1 Os1'
_symmetry_space_group_name_H-M 'P 1'
_symmetry_Int_Tables_number 1
_symmetry_space_group_name_Hall 'P 1'
_cell_length_a 5.461
_cell_length_b 5.461
_cell_length_c 5.461
_cell_angle_alpha 90.00
_cell_angle_beta 90.00
_cell_angle_gamma 90.00
loop_
_atom_site_label
_atom_site_type_symbol
_atom_site_fract_x
_atom_site_fract_y
_atom_site_fract_z
Ca1 Ca 0.000 0.000 0.500
Ca2 Ca 0.000 0.500 0.000
Ca3 Ca 0.500 0.000 0.000
V1 V 0.500 0.500 0.500
Os1 Os 0.000 0.000 0.000
# Polymorph energy (0 for the lowest one) (eV per formula unit): 0.000
# Calculated formation energy (eV/atom): 0.90
# Final energy (eV/atom): -4.369
# Crystal system: cubic

(3)
# CaOsW2 PBE optimized geometry
data_CaOsW2
_chemical_formula_sum 'Ca1 Os1 W2'
_symmetry_space_group_name_H-M 'P 1'
_symmetry_Int_Tables_number 1
_symmetry_space_group_name_Hall 'P 1'
_cell_length_a 4.557
_cell_length_b 4.557
_cell_length_c 4.557
_cell_angle_alpha 60.00
_cell_angle_beta 60.00
_cell_angle_gamma 60.00
loop_
_atom_site_label
_atom_site_type_symbol
_atom_site_fract_x
_atom_site_fract_y
_atom_site_fract_z
Ca1 Ca 0.000 0.000 0.000
Os1 Os 0.500 0.500 0.500
W1 W 0.250 0.250 0.250
W2 W 0.750 0.750 0.750
# Polymorph energy (0 for the lowest one) (eV per formula unit): 0.977
# Calculated formation energy (eV/atom): 0.78
# Final energy (eV/atom): -9.006
# Crystal system: cubic

(4)
# CaOsW2 PBE optimized geometry
data_CaOsW2
_chemical_formula_sum 'Ca1 Os1 W2'
_symmetry_space_group_name_H-M 'P 1'
_symmetry_Int_Tables_number 1
_symmetry_space_group_name_Hall 'P 1'
_cell_length_a 2.843
_cell_length_b 4.332
_cell_length_c 6.169
_cell_angle_alpha 90.00
_cell_angle_beta 100.13
_cell_angle_gamma 90.00
loop_
_atom_site_label
_atom_site_type_symbol
_atom_site_fract_x
_atom_site_fract_y
_atom_site_fract_z
Ca1 Ca 0.000 0.000 0.000
Os1 Os 0.726 0.500 0.294
W1 W 0.260 0.500 0.684
W2 W 0.500 0.000 0.487
# Polymorph energy (0 for the lowest one) (eV per formula unit): 0.405
# Calculated formation energy (eV/atom): 0.64
# Final energy (eV/atom): -9.149
# Crystal system: monoclinic

(5)
# Ca3OsW PBE optimized geometry
data_Ca3OsW
_chemical_formula_sum 'Ca3 Os1 W1'
_symmetry_space_group_name_H-M 'P 1'
_symmetry_Int_Tables_number 1
_symmetry_space_group_name_Hall 'P 1'
_cell_length_a 5.427
_cell_length_b 5.427
_cell_length_c 5.427
_cell_angle_alpha 90.00
_cell_angle_beta 90.00
_cell_angle_gamma 90.00
loop_
_atom_site_label
_atom_site_type_symbol
_atom_site_fract_x
_atom_site_fract_y
_atom_site_fract_z
Ca1 Ca 0.000 0.000 0.500
Ca2 Ca 0.000 0.500 0.000
Ca3 Ca 0.500 0.000 0.000
Os1 Os 0.000 0.000 0.000
W1 W 0.500 0.500 0.500
# Polymorph energy (0 for the lowest one) (eV per formula unit): 0.000
# Calculated formation energy (eV/atom): 1.41
# Final energy (eV/atom): -4.628
# Crystal system: cubic

(6)
# CaOsW2 PBE optimized geometry
data_CaOsW2
_chemical_formula_sum 'Ca1 Os1 W2'
_symmetry_space_group_name_H-M 'P 1'
_symmetry_Int_Tables_number 1
_symmetry_space_group_name_Hall 'P 1'
_cell_length_a 2.812
_cell_length_b 2.812
_cell_length_c 9.449
_cell_angle_alpha 90.00
_cell_angle_beta 90.00
_cell_angle_gamma 109.47
loop_
_atom_site_label
_atom_site_type_symbol
_atom_site_fract_x
_atom_site_fract_y
_atom_site_fract_z
Ca1 Ca 0.000 0.000 0.000
Os1 Os 0.500 0.500 0.262
W1 W 0.000 0.000 0.483
W2 W 0.500 0.500 0.713
# Polymorph energy (0 for the lowest one) (eV per formula unit): 0.082
# Calculated formation energy (eV/atom): 0.55
# Final energy (eV/atom): -9.230
# Crystal system: orthorhombic